# GGA-PBE Ac6Ir4Au, optimized geometry
data_Ac6Ir4Au
_space_group_name_H-M_alt 'C 1 m 1'
_space_group_IT_number 8
_space_group_name_Hall 'C -2y'
_cell_length_a 8.687
_cell_length_b 8.677
_cell_length_c 9.574
_cell_angle_alpha 90.00
_cell_angle_beta 116.79
_cell_angle_gamma 90.00
loop_
_atom_site_label
_atom_site_fract_x
_atom_site_fract_y
_atom_site_fract_z
_atom_site_occupancy
Ac1 0.000 0.000 0.000 1
Ac2 0.010 0.500 0.000 1
Ac3 0.114 0.245 0.716 1
Ac4 0.185 0.250 0.358 1
Ir1 0.296 0.244 0.082 1
Ir2 0.318 0.500 0.634 1
Ir3 0.329 0.000 0.635 1
Au1 0.435 0.000 0.358 1
# - magnetization (μB per cell) = 0.0
# - ΔE_f (meV/atom) = -549
# - DOS at the Fermi energy (states/eV/atom) = 0.4551

---

# GGA-PBE Ac2IrAu, optimized geometry
data_Ac2IrAu
_space_group_name_H-M_alt 'R 3 m'
_space_group_IT_number 160
_space_group_name_Hall 'R 3 -2"'
_cell_length_a 4.3592
_cell_length_b 4.3592
_cell_length_c 22.9242
_cell_angle_alpha 90.00
_cell_angle_beta 90.00
_cell_angle_gamma 120.00
loop_
_atom_site_label
_atom_site_fract_x
_atom_site_fract_y
_atom_site_fract_z
_atom_site_occupancy
Ac1 0.0000 0.0000 0.0000 1
Ac2 0.0000 0.0000 0.1904 1
Ir1 0.0000 0.0000 0.5953 1
Au1 0.0000 0.0000 0.4288 1
# - energy relative to the lowest polymorph listed for this composition (meV/atom) = 22
# - magnetization (μB per cell) = 0.0
# - ΔE_f (meV/atom) = -743
# - DOS at the Fermi energy (states/eV/atom) = 0.3423

---

# GGA-PBE Ac4IrAu, optimized geometry
data_Ac4IrAu
_space_group_name_H-M_alt 'C 1 2/c 1'
_space_group_IT_number 15
_space_group_name_Hall '-C 2yc'
_cell_length_a 9.019
_cell_length_b 16.837
_cell_length_c 7.530
_cell_angle_alpha 90.00
_cell_angle_beta 125.25
_cell_angle_gamma 90.00
loop_
_atom_site_label
_atom_site_fract_x
_atom_site_fract_y
_atom_site_fract_z
_atom_site_occupancy
Ac1 0.215 0.197 0.225 1
Ac2 0.236 0.051 0.735 1
Ir1 0.000 0.073 0.250 1
Au1 0.000 0.416 0.750 1
# - energy relative to the lowest polymorph listed for this composition (meV/atom) = 0
# - magnetization (μB per cell) = 0.0
# - ΔE_f (meV/atom) = -521
# - DOS at the Fermi energy (states/eV/atom) = 0.9645

---

# GGA-PBE Ac3IrAu2, optimized geometry
data_Ac3IrAu2
_space_group_name_H-M_alt 'C 1 2/m 1'
_space_group_IT_number 12
_space_group_name_Hall '-C 2y'
_cell_length_a 7.741
_cell_length_b 13.349
_cell_length_c 7.822
_cell_angle_alpha 90.00
_cell_angle_beta 109.02
_cell_angle_gamma 90.00
loop_
_atom_site_label
_atom_site_fract_x
_atom_site_fract_y
_atom_site_fract_z
_atom_site_occupancy
Ac1 0.222 0.000 0.224 1
Ac2 0.246 0.176 0.768 1
Ir1 0.000 0.168 0.000 1
Au1 0.000 0.000 0.500 1
Au2 0.000 0.343 0.500 1
Au3 0.000 0.500 0.000 1
# - energy relative to the lowest polymorph listed for this composition (meV/atom) = 0
# - magnetization (μB per cell) = 0.0
# - ΔE_f (meV/atom) = -801
# - DOS at the Fermi energy (states/eV/atom) = 0.5066

---

Number 1: calculated density 12.0 g/cm3. Number 2: calculated density 11.1 g/cm3. Number 3: calculated density 9.2 g/cm3. Number 4: calculated density 11.0 g/cm3.